A relaxed structure of BeMoAu3, computed with GGA-PBEsol.

Cell lengths 4.294, 4.294, 4.294 Å; angles 90.00, 90.00, 90.00 degrees
Element x y z (fractional)
Be 0.000 0.000 0.000
Mo 0.500 0.500 0.500
Au 0.000 0.000 0.500
Au 0.000 0.500 0.000
Au 0.500 0.000 0.000

DFT total energy ... -4.90 eV per atom
Total magnetic moment ... 0.00 μB per formula unit
Calculated density ... 14.60 g/cm³
Formation energy ... 0.61 eV per atom



A relaxed structure of BeMoAu2, computed with GGA-PBEsol.

Cell lengths 5.607, 5.607, 5.607 Å; angles 152.01, 134.81, 54.00 degrees
Element x y z (fractional)
Be 0.000 0.000 0.000
Mo 0.205 0.705 0.500
Au 0.503 0.503 0.000
Au 0.804 0.304 0.500

DFT total energy ... -5.73 eV per atom
Total magnetic moment ... 0.00 μB per formula unit
Calculated density ... 14.19 g/cm³
Formation energy ... 0.18 eV per atom



A relaxed structure of BeMo2Au, computed with GGA-PBEsol.

Cell lengths 2.699, 2.699, 7.541 Å; angles 90.00, 90.00, 90.00 degrees
Element x y z (fractional)
Be 0.000 0.000 0.000
Mo 0.500 0.500 0.210
Mo 0.500 0.500 0.790
Au 0.000 0.000 0.500

DFT total energy ... -7.75 eV per atom
Total magnetic moment ... 0.00 μB per formula unit
Relative energy among the computed polymorphs ... 0.0000 eV per atom
Calculated density ... 12.03 g/cm³
Formation energy ... 0.12 eV per atom



A relaxed structure of BeAuN2, computed with GGA-PBEsol.

Cell lengths 5.467, 5.467, 5.467 Å; angles 34.71, 34.71, 34.71 degrees
Element x y z (fractional)
Be 0.000 0.000 0.000
Au 0.500 0.500 0.500
N 0.101 0.101 0.101
N 0.899 0.899 0.899

DFT total energy ... -5.52 eV per atom
Total magnetic moment ... 0.00 μB per formula unit
Energy relative to the elements, uncorrected ... 0.72 eV/atom
Calculated density ... 8.22 g/cm³



A relaxed structure of BeNbSb2Au, computed with GGA-PBEsol.

Cell lengths 5.288, 5.288, 4.094 Å; angles 90.00, 90.00, 90.00 degrees
Element x y z (fractional)
Be 0.000 0.000 0.000
Nb 0.500 0.500 0.000
Sb 0.000 0.500 0.500
Sb 0.500 0.000 0.500
Au 0.000 0.000 0.500

DFT total energy ... -4.66 eV per atom
Total magnetic moment ... 1.52 μB per formula unit
Energy relative to the elements, uncorrected ... 0.91 eV/atom
Calculated density ... 7.87 g/cm³



A relaxed structure of BeNiAu2, computed with GGA-PBEsol.

Cell lengths 4.263, 4.263, 4.263 Å; angles 60.00, 60.00, 60.00 degrees
Element x y z (fractional)
Be 0.000 0.000 0.000
Ni 0.750 0.750 0.750
Au 0.250 0.250 0.250
Au 0.500 0.500 0.500

DFT total energy ... -4.40 eV per atom
Total magnetic moment ... 0.00 μB per formula unit
Calculated density ... 13.99 g/cm³
Formation energy ... 0.10 eV per atom



A relaxed structure of Be4NiAu, computed with GGA-PBEsol.

Cell lengths 4.307, 4.307, 4.307 Å; angles 60.00, 60.00, 60.00 degrees
Element x y z (fractional)
Be 0.376 0.376 0.376
Be 0.376 0.376 0.872
Be 0.376 0.872 0.376
Be 0.872 0.376 0.376
Ni 0.750 0.750 0.750
Au 0.000 0.000 0.000

DFT total energy ... -4.61 eV per atom
Total magnetic moment ... 0.00 μB per formula unit
Calculated density ... 8.57 g/cm³
Formation energy ... -0.26 eV per atom



A relaxed structure of Be2NiAu, computed with GGA-PBEsol.

Cell lengths 4.603, 4.603, 4.603 Å; angles 141.91, 133.17, 61.89 degrees
Element x y z (fractional)
Be 0.000 0.000 0.000
Be 0.748 0.248 0.500
Ni 0.224 0.724 0.500
Au 0.492 0.492 0.000

DFT total energy ... -4.71 eV per atom
Total magnetic moment ... 0.00 μB per formula unit
Calculated density ... 10.48 g/cm³
Formation energy ... -0.19 eV per atom